(1)
# SmErNO

SmErNO after structural relaxation (PBE, the Open Quantum Materials Database).

Results
Total moment in μB per cell: 0.01
Energy above the most stable polymorph in this dataset in meV per atom: 100.1
Symmetry: Pca2_1 (29)

abc: 6.653 8.115 5.015
angles: 90.00 90.00 90.00
Fractional coordinates of all 16 atoms:
Er (0.573, 0.380, 0.050)
Er (0.073, 0.620, 0.050)
Er (0.927, 0.380, 0.550)
Er (0.427, 0.620, 0.550)
N (0.437, 0.133, 0.052)
N (0.937, 0.867, 0.052)
N (0.063, 0.133, 0.552)
N (0.563, 0.867, 0.552)
O (0.903, 0.380, 0.049)
O (0.403, 0.620, 0.049)
O (0.597, 0.380, 0.549)
O (0.097, 0.620, 0.549)
Sm (0.081, 0.130, 0.051)
Sm (0.581, 0.870, 0.051)
Sm (0.419, 0.130, 0.551)
Sm (0.919, 0.870, 0.551)

(2)
# DyAl2Co

DyAl2Co after structural relaxation (PBE, the Open Quantum Materials Database).

Results
Total moment in μB per cell: 0.00
Uncorrected energy in eV/cell: -42.2
Symmetry: Cmmm (65)

abc: 9.326 9.326 3.839
angles: 90.00 90.00 154.16
Fractional coordinates of all 8 atoms:
Al (0.000, 0.000, 0.000)
Al (0.708, 0.292, 0.000)
Al (0.292, 0.708, 0.000)
Al (0.500, 0.500, 0.500)
Co (0.576, 0.424, 0.000)
Co (0.424, 0.576, 0.000)
Dy (0.860, 0.140, 0.500)
Dy (0.140, 0.860, 0.500)